Arrangement a

Material: Ni2BSe
Method: DFT, PBE
State: relaxed

It has space group Fm-3m (No. 225), with a = 5.675 Å, b = 5.675 Å, c = 5.675 Å, α = 90.00°, β = 90.00° and γ = 90.00°. The asymmetric unit holds Ni at (0.250, 0.250, 0.250), B at (0.000, 0.000, 0.000) and Se at (0.000, 0.000, 0.500).

Its total magnetization is 0.00 μB per formula unit.

***

Arrangement b

Material: Ni2BSe
Method: DFT, PBE
State: relaxed

It has space group I-42d (No. 122), with a = 4.500 Å, b = 4.500 Å, c = 11.153 Å, α = 90.00°, β = 90.00° and γ = 90.00°. The asymmetric unit holds Ni at (0.167, 0.250, 0.125), B at (0.000, 0.000, 0.000) and Se at (0.000, 0.000, 0.500).

Its total magnetization is 0.00 μB per formula unit.

***

Result of the stability comparison: arrangement b is the most stable of them.

***

Arrangement a

Material: NiB3Se
Method: DFT, PBE
State: relaxed

It has space group Pm-3m (No. 221), with a = 4.034 Å, b = 4.034 Å, c = 4.034 Å, α = 90.00°, β = 90.00° and γ = 90.00°. The asymmetric unit holds Ni at (0.000, 0.000, 0.000), B at (0.000, 0.500, 0.500) and Se at (0.500, 0.500, 0.500).

Its total magnetization is 0.00 μB per formula unit.

***

Arrangement b

Material: NiB3Se
Method: DFT, PBE
State: relaxed

It has space group Pm-3m (No. 221), with a = 3.915 Å, b = 3.915 Å, c = 3.915 Å, α = 90.00°, β = 90.00° and γ = 90.00°. The asymmetric unit holds Ni at (0.000, 0.000, 0.000), B at (0.000, 0.000, 0.500) and Se at (0.500, 0.500, 0.500).

Its total magnetization is 0.00 μB per formula unit.

***

Result of the stability comparison: arrangement b is the most stable of them.